## Sr3Co2O6 (PBE with a Hubbard U)

Data for Sr3Co2O6 after structural relaxation.

Unit cell a=9.5554 b=9.5554 c=10.6627 alpha=90.00 beta=90.00 gamma=120.00
Space group R-3c (No. 167, hexagonal axes)
One atom of each set of equivalent atoms:
Sr: 0.0000 0.3719 0.2500 x18
Co: 0.0000 0.0000 0.0000 x6
Co: 0.0000 0.0000 0.2500 x6
O: 0.0208 0.1701 0.3815 x36

theoretical density	5.6	g/cm3
total DFT energy (no corrections)	-6.02	eV/atom
magnetic moment	35.96	μB per cell